NdTlCu | GGA-PBE | optimized geometry

```
data_NdTlCu
_chemical_formula_sum 'Nd1 Tl1 Cu1'
_symmetry_space_group_name_H-M 'P 1'
_symmetry_Int_Tables_number 1
_cell_length_a 4.761
_cell_length_b 4.761
_cell_length_c 4.761
_cell_angle_alpha 60.00
_cell_angle_beta 60.00
_cell_angle_gamma 60.00
loop_
_symmetry_equiv_pos_as_xyz
'x,y,z'
loop_
_atom_site_label
_atom_site_type_symbol
_atom_site_fract_x
_atom_site_fract_y
_atom_site_fract_z
_atom_site_occupancy
Nd1 Nd 0.000 0.000 0.000 1
Tl1 Tl 0.500 0.500 0.500 1
Cu1 Cu 0.750 0.750 0.750 1
```

- Energy of formation: -4.77 kcal/mol of atoms

Cs2CaMnI6 | GGA-PBE | optimized geometry

```
data_Cs2CaMnI6
_chemical_formula_sum 'Cs2 Ca1 Mn1 I6'
_symmetry_space_group_name_H-M 'P 1'
_symmetry_Int_Tables_number 1
_cell_length_a 8.530
_cell_length_b 8.530
_cell_length_c 8.530
_cell_angle_alpha 60.00
_cell_angle_beta 60.00
_cell_angle_gamma 60.00
loop_
_symmetry_equiv_pos_as_xyz
'x,y,z'
loop_
_atom_site_label
_atom_site_type_symbol
_atom_site_fract_x
_atom_site_fract_y
_atom_site_fract_z
_atom_site_occupancy
Cs1 Cs 0.250 0.250 0.250 1
Cs2 Cs 0.750 0.750 0.750 1
Ca1 Ca 0.000 0.000 0.000 1
Mn1 Mn 0.500 0.500 0.500 1
I1 I 0.259 0.259 0.741 1
I2 I 0.259 0.741 0.259 1
I3 I 0.259 0.741 0.741 1
I4 I 0.741 0.259 0.259 1
I5 I 0.741 0.259 0.741 1
I6 I 0.741 0.741 0.259 1
```

- Formation energy (no corrections): -1.218 eV/atom

PuZn9Pd2 | GGA-PBE | optimized geometry

```
data_PuZn9Pd2
_chemical_formula_sum 'Pu2 Zn18 Pd4'
_symmetry_space_group_name_H-M 'P 1'
_symmetry_Int_Tables_number 1
_cell_length_a 8.248
_cell_length_b 8.248
_cell_length_c 8.248
_cell_angle_alpha 100.27
_cell_angle_beta 100.27
_cell_angle_gamma 130.05
loop_
_symmetry_equiv_pos_as_xyz
'x,y,z'
loop_
_atom_site_label
_atom_site_type_symbol
_atom_site_fract_x
_atom_site_fract_y
_atom_site_fract_z
_atom_site_occupancy
Pu1 Pu 0.375 0.625 0.750 1
Pu2 Pu 0.625 0.375 0.250 1
Zn1 Zn 0.125 0.875 0.250 1
Zn2 Zn 0.134 0.556 0.336 1
Zn3 Zn 0.134 0.798 0.578 1
Zn4 Zn 0.202 0.280 0.336 1
Zn5 Zn 0.202 0.866 0.922 1
Zn6 Zn 0.280 0.202 0.836 1
Zn7 Zn 0.280 0.444 0.078 1
Zn8 Zn 0.444 0.280 0.578 1
Zn9 Zn 0.444 0.866 0.164 1
Zn10 Zn 0.556 0.134 0.836 1
Zn11 Zn 0.556 0.720 0.422 1
Zn12 Zn 0.720 0.556 0.922 1
Zn13 Zn 0.720 0.798 0.164 1
Zn14 Zn 0.798 0.134 0.078 1
Zn15 Zn 0.798 0.720 0.664 1
Zn16 Zn 0.866 0.202 0.422 1
Zn17 Zn 0.866 0.444 0.664 1
Zn18 Zn 0.875 0.125 0.750 1
Pd1 Pd 0.000 0.000 0.000 1
Pd2 Pd 0.000 0.000 0.500 1
Pd3 Pd 0.000 0.500 0.000 1
Pd4 Pd 0.500 0.000 0.500 1
```

- Energy of formation: -6.62 kcal/mol of atoms

SrAl2Ge | GGA-PBE | optimized geometry

```
data_SrAl2Ge
_chemical_formula_sum 'Sr2 Al4 Ge2'
_symmetry_space_group_name_H-M 'P 1'
_symmetry_Int_Tables_number 1
_cell_length_a 9.792
_cell_length_b 9.792
_cell_length_c 9.792
_cell_angle_alpha 150.55
_cell_angle_beta 150.55
_cell_angle_gamma 42.14
loop_
_symmetry_equiv_pos_as_xyz
'x,y,z'
loop_
_atom_site_label
_atom_site_type_symbol
_atom_site_fract_x
_atom_site_fract_y
_atom_site_fract_z
_atom_site_occupancy
Sr1 Sr 0.000 0.000 0.000 1
Sr2 Sr 0.750 0.250 0.500 1
Al1 Al 0.374 0.625 0.249 1
Al2 Al 0.375 0.624 0.749 1
Al3 Al 0.376 0.125 0.751 1
Al4 Al 0.875 0.626 0.251 1
Ge1 Ge 0.250 0.750 0.500 1
Ge2 Ge 0.500 0.500 0.000 1
```

- Energy of formation: -0.93 kcal/mol of atoms

Hf8Ni21 | GGA-PBE | optimized geometry

```
data_Hf8Ni21
_chemical_formula_sum 'Hf8 Ni21'
_symmetry_space_group_name_H-M 'P 1'
_symmetry_Int_Tables_number 1
_cell_length_a 6.421
_cell_length_b 7.997
_cell_length_c 8.538
_cell_angle_alpha 75.19
_cell_angle_beta 68.14
_cell_angle_gamma 75.47
loop_
_symmetry_equiv_pos_as_xyz
'x,y,z'
loop_
_atom_site_label
_atom_site_type_symbol
_atom_site_fract_x
_atom_site_fract_y
_atom_site_fract_z
_atom_site_occupancy
Hf1 Hf 0.069 0.036 0.246 1
Hf2 Hf 0.252 0.563 0.966 1
Hf3 Hf 0.253 0.438 0.393 1
Hf4 Hf 0.430 0.096 0.686 1
Hf5 Hf 0.570 0.904 0.314 1
Hf6 Hf 0.747 0.562 0.607 1
Hf7 Hf 0.748 0.437 0.034 1
Hf8 Hf 0.931 0.964 0.754 1
Ni1 Ni 0.014 0.618 0.757 1
Ni2 Ni 0.017 0.294 0.724 1
Ni3 Ni 0.181 0.257 0.952 1
Ni4 Ni 0.183 0.901 0.963 1
Ni5 Ni 0.196 0.755 0.458 1
Ni6 Ni 0.214 0.110 0.471 1
Ni7 Ni 0.363 0.788 0.657 1
Ni8 Ni 0.381 0.446 0.651 1
Ni9 Ni 0.401 0.717 0.154 1
Ni10 Ni 0.402 0.242 0.153 1
Ni11 Ni 0.500 0.000 0.000 1
Ni12 Ni 0.598 0.758 0.847 1
Ni13 Ni 0.599 0.283 0.846 1
Ni14 Ni 0.619 0.554 0.349 1
Ni15 Ni 0.637 0.212 0.343 1
Ni16 Ni 0.786 0.890 0.529 1
Ni17 Ni 0.804 0.245 0.542 1
Ni18 Ni 0.817 0.099 0.037 1
Ni19 Ni 0.819 0.743 0.048 1
Ni20 Ni 0.983 0.706 0.276 1
Ni21 Ni 0.986 0.382 0.243 1
```

- Energy of formation: -11.41 kcal/mol of atoms